Compound: SmAl5NiIr
Source: the Open Quantum Materials Database
Functional: PBE-GGA
Structure: optimized geometry

abc: 6.3664 6.3664 6.3664
angles: 143.39 111.28 80.46
Last column: nearest neighbours and their distance in Å.
Positions (direct):
Sm 0.0000 0.0000 0.0000  2 Ni 3.15, 2 Ir 3.28, 8 Al 3.31-3.40
Al 0.1544 0.3492 0.8052  1 Ni 2.40, 2 Ir 2.57
Al 0.4754 0.6617 0.8137  1 Ir 2.48, 2 Ni 2.55, 1 Al 2.68
Al 0.5139 0.0139 0.5000  1 Ni 2.29, 1 Ir 2.40
Al 0.5441 0.3492 0.1948  1 Ni 2.40, 2 Ir 2.57
Al 0.8480 0.6617 0.1863  1 Ir 2.48, 2 Ni 2.55, 1 Al 2.68
Ni 0.7497 0.2497 0.5000  7 Al 2.29-2.55
Ir 0.2671 0.7671 0.5000  7 Al 2.40-2.57

Properties
As for the total energy: -43.2 eV/cell.